A relaxed structure of LiPm2Mg8. Source: the Alexandria database, functional PBE.

* total magnetic moment: 0.00 μB per cell
* calculated volume: 274 Å³/cell
* formation enthalpy at 0 K: -0.50 eV per formula unit

a = 5.0078 Å, b = 6.8137 Å, c = 8.5848 Å
α = 101.64°, β = 106.96°, γ = 90.00°
Sites, in units of the cell vectors:
Li  0.5000  0.0000  0.0000
Pm  0.2197  0.6583  0.4395
Pm  0.7803  0.3417  0.5605
Mg  0.6569  0.8820  0.3137
Mg  0.4120  0.5717  0.8240
Mg  0.1472  0.1448  0.2943
Mg  0.9755  0.2674  0.9510
Mg  0.8528  0.8552  0.7057
Mg  0.5880  0.4283  0.1760
Mg  0.3431  0.1180  0.6863
Mg  0.0245  0.7326  0.0490